1.
# Ac3HgIrAu | the Alexandria database | PBE | optimized geometry
data_Ac3HgIrAu
_symmetry_space_group_name_H-M 'P 1 21/m 1'
_symmetry_Int_Tables_number 11
_cell_length_a 8.985
_cell_length_b 4.419
_cell_length_c 10.059
_cell_angle_alpha 90.00
_cell_angle_beta 92.31
_cell_angle_gamma 90.00
loop_
_symmetry_equiv_pos_as_xyz
'x,y,z'
'-x,-y,-z'
'-x,y+1/2,-z'
'x,-y+1/2,z'
loop_
_atom_site_label
_atom_site_fract_x
_atom_site_fract_y
_atom_site_fract_z
Ac1 0.083 0.250 0.345
Ac2 0.205 0.250 0.933
Ac3 0.362 0.750 0.617
Hg1 0.356 0.750 0.232
Ir1 0.147 0.250 0.642
Au1 0.457 0.750 0.916
# formation energy from the elements = -0.594 eV per atom

=====

2.
# Mn3VTc | the Alexandria database | PBE | optimized geometry
data_Mn3VTc
_symmetry_space_group_name_H-M 'P m -3 m'
_symmetry_Int_Tables_number 221
_symmetry_space_group_name_Hall '-P 4 2 3'
_cell_length_a 4.529
_cell_length_b 4.529
_cell_length_c 4.529
_cell_angle_alpha 90.00
_cell_angle_beta 90.00
_cell_angle_gamma 90.00
loop_
_atom_site_label
_atom_site_fract_x
_atom_site_fract_y
_atom_site_fract_z
Mn1 0.000 0.000 0.500
V1 0.500 0.500 0.500
Tc1 0.000 0.000 0.000
# formation energy from the elements = 1.451 eV per atom

=====

3.
# Tl2InI2 | the Alexandria database | PBE | optimized geometry
data_Tl2InI2
_symmetry_space_group_name_H-M 'I 4/m m m'
_symmetry_Int_Tables_number 139
_symmetry_space_group_name_Hall '-I 4 2'
_cell_length_a 6.730
_cell_length_b 6.730
_cell_length_c 9.515
_cell_angle_alpha 90.00
_cell_angle_beta 90.00
_cell_angle_gamma 90.00
loop_
_atom_site_label
_atom_site_fract_x
_atom_site_fract_y
_atom_site_fract_z
Tl1 0.000 0.000 0.170
In1 0.000 0.000 0.500
I1 0.000 0.500 0.250
# ΔE_f (raw) = -0.2943 eV per atom
# ΔE to the lowest computed polymorph = 31 meV/atom

=====

4.
# CeNdDyN3 | the Alexandria database | PBE | optimized geometry
data_CeNdDyN3
_symmetry_space_group_name_H-M 'P 1 21/m 1'
_symmetry_Int_Tables_number 11
_cell_length_a 6.085
_cell_length_b 3.521
_cell_length_c 9.235
_cell_angle_alpha 90.00
_cell_angle_beta 101.54
_cell_angle_gamma 90.00
loop_
_symmetry_equiv_pos_as_xyz
'x,y,z'
'-x,-y,-z'
'-x,y+1/2,-z'
'x,-y+1/2,z'
loop_
_atom_site_label
_atom_site_fract_x
_atom_site_fract_y
_atom_site_fract_z
Ce1 0.152 0.250 0.145
Nd1 0.335 0.250 0.801
Dy1 0.233 0.750 0.457
N1 0.037 0.750 0.653
N2 0.253 0.750 0.003
N3 0.460 0.250 0.336
# ΔE_f (raw) = -1.3235 eV per atom

=====

5.
# Sm4YIn5 | the Alexandria database | PBE | optimized geometry
data_Sm4YIn5
_symmetry_space_group_name_H-M 'P 4/m m m'
_symmetry_Int_Tables_number 123
_symmetry_space_group_name_Hall '-P 4 2'
_cell_length_a 3.814
_cell_length_b 3.814
_cell_length_c 19.117
_cell_angle_alpha 90.00
_cell_angle_beta 90.00
_cell_angle_gamma 90.00
loop_
_atom_site_label
_atom_site_fract_x
_atom_site_fract_y
_atom_site_fract_z
Sm1 0.000 0.000 0.101
Sm2 0.000 0.000 0.303
Y1 0.000 0.000 0.500
In1 0.500 0.500 0.000
In2 0.500 0.500 0.202
In3 0.500 0.500 0.404
# formation energy from the elements = -0.493 eV per atom

=====

6.
# AlPtI2O | the Alexandria database | PBE | optimized geometry
data_AlPtI2O
_symmetry_space_group_name_H-M 'P 4/m m m'
_symmetry_Int_Tables_number 123
_symmetry_space_group_name_Hall '-P 4 2'
_cell_length_a 5.783
_cell_length_b 5.783
_cell_length_c 3.840
_cell_angle_alpha 90.00
_cell_angle_beta 90.00
_cell_angle_gamma 90.00
loop_
_atom_site_label
_atom_site_fract_x
_atom_site_fract_y
_atom_site_fract_z
Al1 0.000 0.000 0.000
Pt1 0.500 0.500 0.500
I1 0.000 0.500 0.500
O1 0.500 0.500 0.000
# ΔE_f (raw) = 0.0383 eV per atom
# ΔE to the lowest computed polymorph = 413 meV/atom

=====

7.
# PuThTlPd | the Alexandria database | PBE | optimized geometry
data_PuThTlPd
_symmetry_space_group_name_H-M 'F -4 3 m'
_symmetry_Int_Tables_number 216
_symmetry_space_group_name_Hall 'F -4 2 3'
_cell_length_a 7.470
_cell_length_b 7.470
_cell_length_c 7.470
_cell_angle_alpha 90.00
_cell_angle_beta 90.00
_cell_angle_gamma 90.00
loop_
_atom_site_label
_atom_site_fract_x
_atom_site_fract_y
_atom_site_fract_z
Pu1 0.000 0.000 0.000
Th1 0.000 0.000 0.500
Tl1 0.250 0.250 0.250
Pd1 0.250 0.250 0.750
# formation energy from the elements = -0.166 eV per atom

=====

8.
# NpTl2Sn | the Alexandria database | PBE | optimized geometry
data_NpTl2Sn
_symmetry_space_group_name_H-M 'P 4/m m m'
_symmetry_Int_Tables_number 123
_symmetry_space_group_name_Hall '-P 4 2'
_cell_length_a 4.625
_cell_length_b 4.625
_cell_length_c 4.944
_cell_angle_alpha 90.00
_cell_angle_beta 90.00
_cell_angle_gamma 90.00
loop_
_atom_site_label
_atom_site_fract_x
_atom_site_fract_y
_atom_site_fract_z
Np1 0.000 0.000 0.000
Tl1 0.000 0.500 0.500
Sn1 0.500 0.500 0.000
# formation energy from the elements = 0.081 eV per atom